[1]
{"formula": "LiZnPt2", "functional": "SCAN", "state": "single point on PBEsol structure", "crystal_system": "orthorhombic", "dos_ef_per_ev_cell": 1.02, "delta_e_f_ev_per_atom": -0.620, "rho_g_cm3": 14.2, "lattice": [[2.792, 0.000, 0.000], [0.000, 3.467, 0.000], [0.000, 0.000, 5.570]], "species": ["Zn", "Pt", "Pt", "Li"], "frac_coords": [[0.500, 0.500, 0.000], [0.000, 0.000, 0.746], [0.000, 0.000, 0.254], [0.500, 0.500, 0.500]]}

[2]
{"formula": "Ba2SrRh", "functional": "SCAN", "state": "single point on PBEsol structure", "crystal_system": "monoclinic", "dos_ef_per_ev_cell": 2.36, "delta_e_f_ev_per_atom": -0.119, "rho_g_cm3": 4.6, "de_polymorph_ev_per_atom": 0.010, "lattice": [[-0.626, 2.711, 2.976], [-5.179, -2.956, -1.185], [4.642, -4.083, 4.697]], "species": ["Sr", "Rh", "Ba", "Ba"], "frac_coords": [[0.185, 0.371, 0.628], [0.466, 0.932, 0.625], [0.005, 0.011, 0.929], [0.843, 0.686, 0.318]]}

[3]
{"formula": "Sr2ZnTe", "functional": "SCAN", "state": "single point on PBEsol structure", "crystal_system": "tetragonal", "dos_ef_per_ev_cell": 2.02, "e_form_raw_kj_per_mol_atoms": -69.9, "rho_g_cm3": 4.8, "de_polymorph_ev_per_atom": 0.148, "lattice": [[4.600, 0.000, 0.000], [0.000, 4.600, 0.000], [-2.300, -2.300, 6.003]], "species": ["Sr", "Sr", "Te", "Zn"], "frac_coords": [[0.000, 0.000, 0.000], [0.750, 0.250, 0.500], [0.500, 0.500, 0.000], [0.250, 0.750, 0.500]]}

[4]
{"formula": "CdB2Pt", "functional": "SCAN", "state": "single point on PBEsol structure", "crystal_system": "tetragonal", "dos_ef_per_ev_cell": 3.84, "delta_e_f_ev_per_atom": 0.553, "rho_g_cm3": 8.6, "lattice": [[-3.880, -2.239, 2.590], [-2.450, -0.919, -4.464], [5.360, -2.620, 0.596]], "species": ["B", "B", "B", "B", "Pt", "Pt", "Cd", "Cd"], "frac_coords": [[0.312, 0.875, 0.250], [0.938, 0.375, 0.250], [0.125, 0.062, 0.750], [0.625, 0.688, 0.750], [0.250, 0.750, 0.500], [0.000, 0.000, 0.000], [0.750, 0.250, 0.500], [0.500, 0.500, 0.000]]}

[5]
{"formula": "NiTe3Mo", "functional": "SCAN", "state": "single point on PBEsol structure", "crystal_system": "cubic", "dos_ef_per_ev_cell": 6.54, "e_form_raw_kj_per_mol_atoms": 96.8, "rho_g_cm3": 6.4, "lattice": [[-4.377, 2.126, 1.763], [-2.573, -4.340, -1.155], [1.004, -1.854, 4.727]], "species": ["Ni", "Mo", "Te", "Te", "Te"], "frac_coords": [[0.500, 0.500, 0.500], [0.000, 0.000, 0.000], [0.000, 0.500, 0.000], [0.000, 0.000, 0.500], [0.500, 0.000, 0.000]]}

[6]
{"formula": "ZrTcBi2", "functional": "SCAN", "state": "single point on PBEsol structure", "crystal_system": "cubic", "dos_ef_per_ev_cell": 3.30, "delta_e_f_ev_per_atom": 0.230, "rho_g_cm3": 12.0, "lattice": [[4.920, 0.000, 0.000], [2.460, 4.261, 0.000], [2.460, 1.420, 4.017]], "species": ["Bi", "Bi", "Zr", "Tc"], "frac_coords": [[0.250, 0.250, 0.250], [0.750, 0.750, 0.750], [0.000, 0.000, 0.000], [0.500, 0.500, 0.500]]}

[7]
{"formula": "BaSb2Te", "functional": "SCAN", "state": "single point on PBEsol structure", "crystal_system": "monoclinic", "dos_ef_per_ev_cell": 1.69, "e_form_raw_kj_per_mol_atoms": -66.5, "rho_g_cm3": 6.4, "lattice": [[-4.525, -1.422, -0.869], [-0.604, -0.895, 4.605], [0.565, 6.411, -0.056]], "species": ["Ba", "Sb", "Sb", "Te"], "frac_coords": [[0.000, 0.500, 0.000], [0.264, 0.185, 0.527], [0.736, 0.815, 0.473], [0.500, 0.000, 0.000]]}

[8]
{"formula": "Be2PtSe", "functional": "SCAN", "state": "single point on PBEsol structure", "crystal_system": "orthorhombic", "dos_ef_per_ev_cell": 0.58, "e_form_raw_kj_per_mol_atoms": -28.8, "rho_g_cm3": 8.3, "lattice": [[2.743, 0.000, 0.000], [0.000, 3.471, 0.000], [-1.371, -1.736, 6.172]], "species": ["Be", "Be", "Pt", "Se"], "frac_coords": [[0.992, 0.992, 0.983], [0.189, 0.689, 0.378], [0.537, 0.537, 0.074], [0.782, 0.282, 0.564]]}

[9]
{"formula": "Li4VFeTe2O12", "functional": "SCAN", "state": "single point on PBEsol structure", "crystal_system": "triclinic", "e_form_raw_kj_per_mol_atoms": -175.2, "rho_g_cm3": 4.9, "lattice": [[5.042, 0.005, 0.001], [-0.021, 5.316, -0.014], [-0.009, -0.500, 7.331]], "species": ["Li", "Li", "Li", "Li", "V", "Fe", "Te", "Te", "O", "O", "O", "O", "O", "O", "O", "O", "O", "O", "O", "O"], "frac_coords": [[0.002, 0.431, 0.274], [0.500, 0.936, 0.792], [0.996, 0.403, 0.804], [0.501, 0.913, 0.288], [0.501, 0.482, 0.511], [0.000, 0.988, 0.004], [0.996, 0.987, 0.500], [0.506, 0.500, 0.008], [0.309, 0.212, 0.430], [0.126, 0.028, 0.740], [0.332, 0.824, 0.047], [0.199, 0.699, 0.420], [0.801, 0.693, 0.922], [0.377, 0.513, 0.733], [0.629, 0.525, 0.255], [0.182, 0.332, 0.048], [0.803, 0.328, 0.556], [0.693, 0.204, 0.926], [0.876, 0.031, 0.257], [0.671, 0.825, 0.555]]}

[10]
{"formula": "CaYCu2", "functional": "SCAN", "state": "single point on PBEsol structure", "crystal_system": "orthorhombic", "dos_ef_per_ev_cell": 2.50, "delta_e_f_ev_per_atom": -0.189, "rho_g_cm3": 5.0, "lattice": [[3.778, 0.000, 0.000], [0.000, 4.358, 0.000], [-1.889, 0.000, 5.198]], "species": ["Y", "Ca", "Cu", "Cu"], "frac_coords": [[0.113, 0.000, 0.225], [0.394, 0.500, 0.788], [0.815, 0.000, 0.629], [0.681, 0.500, 0.363]]}

[11]
{"formula": "K2IrRh", "functional": "SCAN", "state": "single point on PBEsol structure", "crystal_system": "monoclinic", "dos_ef_per_ev_cell": 2.47, "delta_e_f_ev_per_atom": 0.375, "rho_g_cm3": 5.4, "de_polymorph_ev_per_atom": 0.000, "lattice": [[2.839, 0.000, 0.000], [-1.420, 4.258, 0.032], [0.000, -0.625, 9.560]], "species": ["Ir", "K", "K", "Rh"], "frac_coords": [[0.243, 0.486, 0.657], [0.988, 0.976, 0.900], [0.761, 0.522, 0.350], [0.508, 0.016, 0.593]]}

[12]
{"formula": "YTl3B", "functional": "SCAN", "state": "single point on PBEsol structure", "crystal_system": "cubic", "dos_ef_per_ev_cell": 4.39, "delta_e_f_ev_per_atom": 1.425, "rho_g_cm3": 6.2, "lattice": [[5.754, 0.000, 0.000], [0.000, 5.754, 0.000], [0.000, 0.000, 5.754]], "species": ["Y", "Tl", "Tl", "Tl", "B"], "frac_coords": [[0.000, 0.000, 0.000], [0.000, 0.500, 0.000], [0.000, 0.000, 0.500], [0.500, 0.000, 0.000], [0.500, 0.500, 0.500]]}